Entry 1:
The following is a PBE calculation of a relaxed TbYHo6Tm2 crystal, from Alexandria.

```
TbYHo6Tm2
1.0
4.4903 -7.4769 0.0000
4.4903 7.4769 0.0000
-1.1982 0.0000 9.4023
Tb Y Ho Tm
2 2 12 4
Direct
0.0912 0.9088 0.7500
0.9088 0.0912 0.2500
0.4762 0.5238 0.2500
0.5238 0.4762 0.7500
0.0026 0.7900 0.3802
0.0696 0.5214 0.1839
0.2100 0.9974 0.1198
0.2514 0.6247 0.5557
0.3753 0.7486 0.9443
0.4786 0.9304 0.3161
0.5214 0.0696 0.6839
0.6247 0.2514 0.0557
0.7486 0.3753 0.4443
0.7900 0.0026 0.8802
0.9304 0.4786 0.8161
0.9974 0.2100 0.6198
0.1959 0.3045 0.9559
0.3045 0.1959 0.4559
0.6955 0.8041 0.5441
0.8041 0.6955 0.0441
```

Properties
Energy of formation from the pure elements: 0.120 eV per atom
DFT total energy: -4.630 eV/atom


Entry 2:
The following is a PBE calculation of a relaxed LiMgGe2O6 crystal, from Alexandria.

```
LiMgGe2O6
1.0
4.7547 -4.6746 0.0000
4.7547 4.6746 0.0000
-0.9089 0.0000 5.1869
Li Mg Ge O
2 2 4 12
Direct
0.2329 0.7671 0.7500
0.7671 0.2329 0.2500
0.4164 0.5836 0.2500
0.5836 0.4164 0.7500
0.1106 0.2825 0.8247
0.2825 0.1106 0.3247
0.7175 0.8894 0.6753
0.8894 0.7175 0.1753
0.0680 0.2057 0.1292
0.1277 0.6601 0.3399
0.2057 0.0680 0.6292
0.2974 0.4686 0.8724
0.3399 0.8723 0.1601
0.4686 0.2974 0.3724
0.5314 0.7026 0.6276
0.6601 0.1277 0.8399
0.7026 0.5314 0.1276
0.7943 0.9320 0.3708
0.8723 0.3399 0.6601
0.9320 0.7943 0.8708
```

Properties
Formation energy (no corrections): -1.794 eV/atom
DFT total energy: -6.043 eV/atom


Entry 3:
The following is a PBE calculation of a relaxed La3HgN crystal, from Alexandria.

```
La3HgN
1.0
-3.5301 3.5301 6.2654
3.5301 -3.5301 6.2654
3.5301 3.5301 -6.2654
La Hg N
6 2 2
Direct
0.1266 0.1266 0.0000
0.3584 0.6145 0.7439
0.3855 0.1294 0.7439
0.3855 0.6416 0.2561
0.8706 0.6145 0.2561
0.8734 0.8734 0.0000
0.6269 0.1269 0.5000
0.8731 0.3731 0.5000
0.2500 0.7500 0.5000
0.5000 0.5000 0.0000
```

Properties
Formation energy (no corrections): -0.409 eV/atom
DFT total energy: -5.091 eV/atom